1.
This record from the Alexandria database describes a relaxed Fe3Os crystal. The functional is PBE.

Values from the calculation:
Energy of formation: 49 kJ/mol of formula units

Cell and atoms, written as POSCAR:
```
Fe3Os
1.0
2.554 0.000 0.001
0.000 4.122 0.000
0.811 0.000 4.757
Fe Os
3 1
Direct
0.479 0.000 0.495
0.021 0.000 0.005
0.250 0.500 0.250
0.750 0.500 0.750
```



2.
This record from the Alexandria database describes a relaxed FeOs2 crystal. The functional is PBE.

Values from the calculation:
Energy of formation: 71 kJ/mol of formula units

Cell and atoms, written as POSCAR:
```
FeOs2
1.0
0.590 -0.494 4.719
2.949 2.508 -2.807
-4.092 2.455 -0.303
Os Fe
4 2
Direct
0.352 0.148 0.500
0.148 0.648 0.795
0.648 0.852 0.500
0.852 0.352 0.205
0.750 0.750 0.000
0.250 0.250 0.000
```



3.
This record from the Alexandria database describes a relaxed Fe2Os crystal. The functional is PBE.

Values from the calculation:
Energy of formation: 31 kJ/mol of formula units

Cell and atoms, written as POSCAR:
```
Fe2Os
1.0
-4.534 0.014 -1.634
-3.974 -2.491 -1.107
-3.257 0.341 5.074
Fe Os
4 2
Direct
0.612 0.612 0.277
0.331 0.331 0.335
0.669 0.669 0.663
0.998 0.998 0.006
0.274 0.274 0.950
0.950 0.950 0.603
```



4.
This record from the Alexandria database describes a relaxed Fe2Os crystal. The functional is PBE.

Values from the calculation:
Energy of formation: 80 kJ/mol of formula units

Cell and atoms, written as POSCAR:
```
Fe2Os
1.0
2.043 -3.539 0.000
2.043 3.539 0.000
0.000 0.000 5.087
Os Fe
2 4
Direct
0.333 0.667 0.750
0.667 0.333 0.250
0.000 0.000 0.500
0.000 0.000 0.000
0.667 0.333 0.750
0.333 0.667 0.250
```